Material: K2SrZr
Method: DFT, GGA-PBE
State: relaxed

abc: 6.4168 6.4168 6.4168
angles: 60.00 60.00 60.00
Closest atoms and distances in Å follow each position.
Sites, in units of the cell vectors:
Zr1 0.5000 0.5000 0.5000  8 K 3.93
Sr1 0.0000 0.0000 0.0000  8 K 3.93
K1 0.2500 0.2500 0.2500  4 Zr 3.93, 4 Sr 3.93
K2 0.7500 0.7500 0.7500  4 Zr 3.93, 4 Sr 3.93

Results
Offset from the most stable computed form in meV/atom: 392
ΔH_f (0 K) in eV/atom: 0.954
Electronic total energy in eV/atom: -2.152
Symmetry: Fm-3m, No. 225
Calculated density in g/cm3: 2.285